[1]
VASP calculation (PBE) on crystalline Tb3CeDy3 at its relaxed geometry.

Geometry as POSCAR:
```
Tb3CeDy3
1.0
3.075 1.776 14.207
-3.075 1.776 14.207
0.000 -3.551 14.207
Tb Ce Dy
6 2 6
Direct
0.133 0.465 0.800
0.200 0.867 0.535
0.465 0.800 0.133
0.535 0.200 0.867
0.800 0.133 0.465
0.867 0.535 0.200
0.333 0.333 0.333
0.667 0.667 0.667
0.066 0.733 0.400
0.267 0.600 0.934
0.400 0.066 0.733
0.600 0.934 0.267
0.733 0.400 0.066
0.934 0.267 0.600
```

* energy of formation from the pure elements: 0.180 eV/atom
* total magnetization: 2.762 μB/cell
* calculated density: 7880 kg/m³


[2]
VASP calculation (PBE) on crystalline Ga2FeCo4 at its relaxed geometry.

Geometry as POSCAR:
```
Ga2FeCo4
1.0
4.928 0.000 0.000
0.000 4.928 0.000
0.000 0.000 7.445
Ga Fe Co
4 2 8
Direct
0.000 0.500 0.000
0.000 0.500 0.500
0.500 0.000 0.000
0.500 0.000 0.500
0.000 0.000 0.000
0.500 0.500 0.500
0.250 0.250 0.250
0.250 0.250 0.750
0.250 0.750 0.250
0.250 0.750 0.750
0.750 0.250 0.250
0.750 0.250 0.750
0.750 0.750 0.250
0.750 0.750 0.750
```

* energy of formation from the pure elements: 0.056 eV/atom
* total magnetization: 15.908 μB/cell
* calculated density: 7917 kg/m³


[3]
VASP calculation (PBE) on crystalline YGa2Bi2 at its relaxed geometry.

Geometry as POSCAR:
```
YGa2Bi2
1.0
4.113 0.000 0.000
0.000 4.113 0.000
0.000 0.000 16.569
Y Ga Bi
2 4 4
Direct
0.000 0.000 0.000
0.500 0.500 0.500
0.000 0.500 0.250
0.000 0.500 0.750
0.500 0.000 0.250
0.500 0.000 0.750
0.000 0.000 0.403
0.000 0.000 0.597
0.500 0.500 0.097
0.500 0.500 0.903
```

* energy of formation from the pure elements: -0.209 eV/atom
* total magnetization: 0.000 μB/cell
* calculated density: 7660 kg/m³
* relative energy among the computed polymorphs: 0 meV per atom


[4]
VASP calculation (PBE) on crystalline ScCuIr at its relaxed geometry.

Geometry as POSCAR:
```
ScCuIr
1.0
9.544 0.000 0.000
0.000 5.115 0.000
-2.212 0.000 4.062
Sc Cu Ir
4 4 4
Direct
0.129 0.000 0.379
0.371 0.500 0.621
0.629 0.500 0.379
0.871 0.000 0.621
0.250 0.250 0.000
0.250 0.750 0.000
0.750 0.250 0.000
0.750 0.750 0.000
0.062 0.500 0.311
0.438 0.000 0.689
0.562 0.000 0.311
0.938 0.500 0.689
```

* energy of formation from the pure elements: -0.312 eV/atom
* total magnetization: 0.000 μB/cell
* calculated density: 10072 kg/m³
* relative energy among the computed polymorphs: 136 meV per atom


no.,E_tot (eV for the cell shown)
1,-64.7
2,-85.1
3,-42.6
4,-80.9